A plane-wave DFT calculation with GGA-PBE was carried out for a relaxed structure of SrHS3.

## Properties
As for the space-group type: Pm-3m. Its total moment is 0.000 μB per formula unit. As for the volume: 16.97 A^3/atom. The total energy is -3.5578 eV/atom.

a = 4.394 Å, b = 4.394 Å, c = 4.394 Å
α = 90.00°, β = 90.00°, γ = 90.00°
Fractional positions:
Sr (0.000, 0.000, 0.000)
H (0.500, 0.500, 0.500)
S (0.000, 0.500, 0.500)
S (0.500, 0.000, 0.500)
S (0.500, 0.500, 0.000)

***

A plane-wave DFT calculation with GGA-PBE was carried out for a relaxed structure of HfTe2Au.

## Properties
As for the space-group type: R-3m. Its total moment is 0.000 μB per formula unit. For the energy relative to the elements, uncorrected, the calculation gives -9.74 kcal/mol of atoms. As for the volume: 29.72 A^3/atom.

a = 9.096 Å, b = 9.096 Å, c = 9.096 Å
α = 25.07°, β = 25.07°, γ = 25.07°
Fractional positions:
Hf (0.000, 0.000, 0.000)
Te (0.400, 0.400, 0.400)
Te (0.600, 0.600, 0.600)
Au (0.500, 0.500, 0.500)

***

A plane-wave DFT calculation with GGA-PBE was carried out for a relaxed structure of KTa2Cu.

## Properties
As for the space-group type: R-3m. The formation enthalpy at 0 K comes out at 0.800 eV per atom. Its total moment is 0.000 μB per formula unit. As for the volume: 20.12 A^3/atom.

a = 11.227 Å, b = 11.227 Å, c = 11.227 Å
α = 14.81°, β = 14.81°, γ = 14.81°
Fractional positions:
K (0.000, 0.000, 0.000)
Ta (0.234, 0.234, 0.234)
Ta (0.766, 0.766, 0.766)
Cu (0.500, 0.500, 0.500)

***

A plane-wave DFT calculation with GGA-PBE was carried out for a relaxed structure of Zr4HgC.

## Properties
As for the space-group type: P2_1/c. The formation enthalpy at 0 K comes out at -0.118 eV per atom. Its total moment is 0.000 μB per formula unit. As for the volume: 22.48 A^3/atom.

a = 8.145 Å, b = 5.270 Å, c = 6.833 Å
α = 90.00°, β = 113.10°, γ = 90.00°
Fractional positions:
Zr (0.120, 0.249, 0.306)
Zr (0.120, 0.251, 0.806)
Zr (0.233, 0.740, 0.113)
Zr (0.233, 0.760, 0.613)
Zr (0.767, 0.240, 0.387)
Zr (0.767, 0.260, 0.887)
Zr (0.880, 0.749, 0.194)
Zr (0.880, 0.751, 0.694)
Hg (0.500, 0.000, 0.000)
Hg (0.500, 0.500, 0.500)
C (0.000, 0.000, 0.000)
C (0.000, 0.500, 0.500)